(1)
HgBH3 GGA-PBE relaxed; DOS at the Fermi energy = 1.40 states/eV/cell; symmetry = Pm-3m, No. 221; energy = -9.92 eV/cell
1.0
3.822 0.000 0.000
0.000 3.822 0.000
0.000 0.000 3.822
Hg B H
1 1 3
Direct
0.000 0.000 0.000
0.500 0.500 0.500
0.000 0.500 0.000
0.500 0.000 0.000
0.000 0.000 0.500



(2)
TlCdOs2 GGA-PBE relaxed; ΔH_f (0 K) = 0.819 eV per atom; DOS at the Fermi energy = 3.27 states/eV/cell; symmetry = Imm2, No. 44; energy = -22.46 eV/cell
1.0
-2.433 -3.852 -4.415
-2.528 -5.763 0.801
0.294 6.271 0.915
Os Cd Tl
2 1 1
Direct
0.779 0.279 0.500
0.959 0.959 0.000
0.227 0.727 0.500
0.536 0.536 0.000